KScBr2 after structural relaxation, computed with PBE-GGA.

Geometry as POSCAR:
```
KScBr2
1.0
-3.433 3.433 6.799
3.433 -3.433 6.799
3.433 3.433 -6.799
K Sc Br
2 2 4
Direct
0.000 0.000 0.000
0.750 0.250 0.500
0.250 0.750 0.500
0.500 0.500 0.000
0.194 0.625 0.069
0.375 0.444 0.569
0.556 0.125 0.931
0.875 0.806 0.431
```

Results
* crystal system: tetragonal
* formation energy without anion corrections: -0.94 eV/atom
* energy: -3.63 eV/atom